Nd6Si2CI3 (PBE, optimized geometry); electronic total energy = -5.29 eV/atom; total magnetic moment = 0.000 μB/atom; SG = C2/m
1.0
3.6274 -6.2759 0.0000
3.6274 6.2759 0.0000
-2.4131 0.0000 7.7871
Nd Si C I
6 2 1 3
Cartesian
1.1102 1.9216 1.4483
-0.1945 0.0000 6.3226
1.1102 -1.9216 1.4483
3.7316 1.9216 6.3388
5.0362 0.0000 1.4645
3.7316 -1.9216 6.3388
3.6274 2.0865 0.0000
3.6274 -2.0865 0.0000
0.0000 0.0000 0.0000
2.4209 4.1163 3.8936
2.4209 0.0000 3.8936
2.4209 -4.1163 3.8936